# Pa2TlSe4 | Alexandria via LeMat-Bulk | PBE-GGA | relaxed
# * energy: -43.07 eV/f.u.
# * formation energy without anion corrections: -1.111 eV per atom
data_Pa2TlSe4
_chemical_formula_sum 'Pa8 Tl4 Se16'
_symmetry_space_group_name_H-M 'P n m a'
_symmetry_Int_Tables_number 62
_cell_length_a 13.183
_cell_length_b 4.091
_cell_length_c 15.515
_cell_angle_alpha 90.00
_cell_angle_beta 90.00
_cell_angle_gamma 90.00
loop_
_symmetry_equiv_pos_as_xyz
'x,y,z'
'-x,-y,-z'
'-x+1/2,-y,z+1/2'
'x+1/2,y,-z+1/2'
'x+1/2,-y+1/2,-z+1/2'
'-x+1/2,y+1/2,z+1/2'
'-x,y+1/2,-z'
'x,-y+1/2,z'
loop_
_atom_site_label
_atom_site_type_symbol
_atom_site_fract_x
_atom_site_fract_y
_atom_site_fract_z
_atom_site_occupancy
Pa1 Pa 0.055 0.250 0.108 1
Pa2 Pa 0.084 0.250 0.595 1
Tl1 Tl 0.239 0.250 0.327 1
Se1 Se 0.032 0.750 0.718 1
Se2 Se 0.093 0.250 0.928 1
Se3 Se 0.120 0.750 0.467 1
Se4 Se 0.204 0.750 0.149 1



# PaTlSe2 | Alexandria via LeMat-Bulk | PBE-GGA | relaxed
# * energy: -22.68 eV/f.u.
# * formation energy without anion corrections: -0.962 eV per atom
data_PaTlSe2
_chemical_formula_sum 'Pa3 Tl3 Se6'
_symmetry_space_group_name_H-M 'R 3 m'
_symmetry_Int_Tables_number 160
_symmetry_space_group_name_Hall 'R 3 -2"'
_cell_length_a 4.0219
_cell_length_b 4.0219
_cell_length_c 25.3259
_cell_angle_alpha 90.00
_cell_angle_beta 90.00
_cell_angle_gamma 120.00
loop_
_atom_site_label
_atom_site_type_symbol
_atom_site_fract_x
_atom_site_fract_y
_atom_site_fract_z
_atom_site_occupancy
Pa1 Pa 0.0000 0.0000 0.0000 1
Tl1 Tl 0.0000 0.0000 0.8343 1
Se1 Se 0.0000 0.0000 0.4016 1
Se2 Se 0.0000 0.0000 0.5981 1



Look up the energy of the second one.
-22.68 eV/f.u.



Number 2 is which compound?
PaTlSe2



Among the records above, which one has the lowest formation energy without anion corrections?
Pa2TlSe4